Compound: CdSiPb2
Source: Alexandria via LeMat-Bulk
Functional: PBE
Structure: relaxed

Summary:
formation energy (no corrections)	155	kJ/mol of formula units
excess energy over the best structure of this formula in the dataset	128.7	meV per atom

a = 7.4971 Å, b = 7.4971 Å, c = 7.4971 Å
α = 90.00°, β = 90.00°, γ = 90.00°
Closest atoms and distances in Å follow each position.
Space group F-43m (No. 216)
Inequivalent atoms, fractional coordinates:
Cd 0.0000 0.0000 0.0000 x4  4 Pb 3.25, 4 Si 3.25
Si 0.2500 0.2500 0.2500 x4  4 Pb 3.25, 4 Cd 3.25
Pb 0.0000 0.0000 0.5000 x4  4 Pb 3.25, 4 Si 3.25
Pb 0.2500 0.2500 0.7500 x4  4 Cd 3.25, 4 Pb 3.25